1.
An optimized crystal structure of BaNa6In6, computed with PBE.

a b c (Å): 6.3833 8.4364 8.4364
angles (deg): 81.84 67.77 67.77
Last column: nearest neighbours and their distance in Å.
Fractional positions:
Ba 0.0000 0.0000 0.0000  8 Na 3.78-3.90, 12 In 4.00-4.22
Na 0.3531 0.6469 0.6469  3 Na 3.24-3.59, 6 In 3.39-3.50
Na 0.6469 0.3531 0.3531  3 Na 3.24-3.59, 6 In 3.39-3.50
Na 0.0000 0.3424 0.6576  6 In 3.35-3.47, 3 Na 3.48-3.71
Na 0.0000 0.6576 0.3424  6 In 3.35-3.47, 3 Na 3.48-3.71
Na 0.2968 0.2032 0.2032  6 In 3.23-3.30, 2 Na 3.59
Na 0.7032 0.7968 0.7968  6 In 3.23-3.30, 2 Na 3.59
In 0.0000 0.5000 0.0000  4 In 3.19-3.21, 6 Na 3.23-3.39
In 0.5000 0.5000 0.0000  4 In 3.19-3.21, 6 Na 3.23-3.39
In 0.0000 0.0000 0.5000  4 In 3.19-3.21, 6 Na 3.23-3.39
In 0.5000 0.0000 0.5000  4 In 3.19-3.21, 6 Na 3.23-3.39
In 0.5000 0.7811 0.2189  4 In 3.21, 6 Na 3.30-3.50
In 0.5000 0.2189 0.7811  4 In 3.21, 6 Na 3.30-3.50

Output
V in Å³/atom: 29.95
Formation enthalpy at 0 K in kJ/mol of atoms: -15

***

2.
An optimized crystal structure of AcHo3S6, computed with PBE.

a b c (Å): 4.0544 11.1595 11.4528
angles (deg): 108.90 90.00 90.00
Last column: nearest neighbours and their distance in Å.
Fractional positions:
Ac 0.7500 0.0548 0.6981  8 S 3.03-3.14
Ac 0.2500 0.9452 0.3019  8 S 3.03-3.14
Ho 0.7500 0.4519 0.8341  6 S 2.68-2.80
Ho 0.2500 0.5481 0.1659  6 S 2.68-2.80
Ho 0.7500 0.6768 0.5007  7 S 2.70-2.92
Ho 0.2500 0.3232 0.4993  7 S 2.70-2.92
Ho 0.7500 0.1618 0.0902  6 S 2.66-2.81
Ho 0.2500 0.8382 0.9098  6 S 2.66-2.81
S 0.7500 0.4784 0.6099  4 Ho 2.68-2.87
S 0.2500 0.5216 0.3901  4 Ho 2.68-2.87
S 0.7500 0.9174 0.0882  3 Ho 2.72-2.81
S 0.2500 0.0826 0.9118  3 Ho 2.72-2.81
S 0.7500 0.3906 0.0522  4 Ho 2.72-2.80
S 0.2500 0.6094 0.9478  4 Ho 2.72-2.80
S 0.7500 0.7220 0.2678  3 Ho 2.79-2.87
S 0.2500 0.2780 0.7322  3 Ho 2.79-2.87
S 0.7500 0.1261 0.4632  2 Ho 2.92, 3 Ac 3.03-3.04
S 0.2500 0.8739 0.5368  2 Ho 2.92, 3 Ac 3.03-3.04
S 0.7500 0.7985 0.7520  3 Ho 2.66-2.76
S 0.2500 0.2015 0.2480  3 Ho 2.66-2.76

Output
V in Å³/atom: 24.51
Energy relative to the elements, uncorrected in meV per atom: -2128

***

3.
An optimized crystal structure of GaMoS2Cl, computed with PBE.

a b c (Å): 4.6733 4.6733 5.0810
angles (deg): 90.00 90.00 90.00
Last column: nearest neighbours and their distance in Å.
Fractional positions:
Mo 0.0000 0.0000 0.0000  4 S 2.34, 2 Cl 2.54
S 0.0000 0.5000 0.0000  2 Mo 2.34
S 0.5000 0.0000 0.0000  2 Mo 2.34
Ga 0.5000 0.5000 0.5000  4 Cl 3.30, 8 S 3.45
Cl 0.0000 0.0000 0.5000  2 Mo 2.54

Output
V in Å³/atom: 22.19
Energy relative to the elements, uncorrected in meV per atom: -240
Polymorph energy (0 for the lowest one) in meV per atom: 0.0

***

4.
An optimized crystal structure of BeNb2Co6, computed with PBE.

a b c (Å): 5.1965 4.8912 4.8912
angles (deg): 60.07 90.12 90.12
Last column: nearest neighbours and their distance in Å.
Fractional positions:
Be 0.0000 0.0000 0.0000  6 Co 2.23
Nb 0.8536 0.6666 0.6666  9 Co 2.61-2.79, 1 Be 2.92
Nb 0.1464 0.3334 0.3334  9 Co 2.61-2.79, 1 Be 2.92
Co 0.3227 0.3470 0.8269  1 Be 2.23, 4 Co 2.35-2.36
Co 0.3218 0.8270 0.8270  1 Be 2.23, 4 Co 2.35-2.36
Co 0.3227 0.8269 0.3470  1 Be 2.23, 4 Co 2.35-2.36
Co 0.6773 0.6530 0.1731  1 Be 2.23, 4 Co 2.35-2.36
Co 0.6782 0.1730 0.1730  1 Be 2.23, 4 Co 2.35-2.36
Co 0.6773 0.1731 0.6530  1 Be 2.23, 4 Co 2.35-2.36

Output
V in Å³/atom: 11.97
Formation enthalpy at 0 K in kJ/mol of atoms: -8

***

Which of these has the highest V?
BaNa6In6